w | ! AlTcNi, optimized geometry, DFT GGA-PBEsol; values from VASP
! SG: No. 216
! Calculated volume (Å³/cell): 43.6
&SYSTEM
  ibrav = 0, nat = 3, ntyp = 3
/
ATOMIC_SPECIES
Ni 58.69 Ni.upf
Tc 98.00 Tc.upf
Al 26.98 Al.upf
CELL_PARAMETERS angstrom
-2.779 2.751 -0.566
-2.474 -0.293 -3.067
-3.804 -0.881 0.607
ATOMIC_POSITIONS angstrom
Ni -2.264 0.394 -0.757
Tc 0.000 0.000 0.000
Al -4.528 0.789 -1.513



x | ! AlTcNi, optimized geometry, DFT GGA-PBEsol; values from VASP
! SG: No. 107
! Calculated volume (Å³/cell): 37.8
&SYSTEM
  ibrav = 0, nat = 3, ntyp = 3
/
ATOMIC_SPECIES
Ni 58.69 Ni.upf
Tc 98.00 Tc.upf
Al 26.98 Al.upf
CELL_PARAMETERS angstrom
2.633 0.000 0.000
0.000 2.633 0.000
-1.317 -1.317 5.452
ATOMIC_POSITIONS angstrom
Ni 0.000 0.000 3.663
Tc 1.317 1.317 1.886
Al 1.317 1.317 5.356



Which one is most stable, and which one is least stable? x is the most stable of them, while w is the least stable.



w | ! Al2NiW, optimized geometry, DFT GGA-PBEsol; values from VASP
! SG: No. 10
! Calculated volume (Å³/cell): 55.1
&SYSTEM
  ibrav = 0, nat = 4, ntyp = 3
/
ATOMIC_SPECIES
Ni 58.69 Ni.upf
Al 26.98 Al.upf
W 183.84 W.upf
CELL_PARAMETERS angstrom
2.693 0.000 -0.012
0.000 4.009 0.000
-0.738 0.000 5.105
ATOMIC_POSITIONS angstrom
Ni 1.347 2.004 -0.006
Al 1.157 0.000 3.858
Al 0.798 0.000 1.235
W -0.369 2.004 2.553



x | ! Al2NiW, optimized geometry, DFT GGA-PBEsol; values from VASP
! SG: No. 160
! Calculated volume (Å³/cell): 56.7
&SYSTEM
  ibrav = 0, nat = 4, ntyp = 3
/
ATOMIC_SPECIES
Ni 58.69 Ni.upf
Al 26.98 Al.upf
W 183.84 W.upf
CELL_PARAMETERS angstrom
2.773 0.000 0.000
1.386 2.401 0.000
1.386 0.800 8.515
ATOMIC_POSITIONS angstrom
Ni 2.773 1.601 4.206
Al 1.386 0.800 8.490
Al 1.386 0.800 2.329
W 4.159 2.401 6.261



Which one is most stable, and which one is least stable? w is the most stable of them, while x is the least stable.



w | ! AlP3O9, optimized geometry, DFT GGA-PBEsol; values from VASP
! SG: No. 220
! Calculated volume (Å³/cell): 1317.2
&SYSTEM
  ibrav = 0, nat = 104, ntyp = 3
/
ATOMIC_SPECIES
Al 26.98 Al.upf
O 16.00 O.upf
P 30.97 P.upf
CELL_PARAMETERS angstrom
11.961 0.000 0.000
-3.987 11.277 0.000
-3.987 -5.638 9.766
ATOMIC_POSITIONS angstrom
Al 9.427 0.000 0.000
Al 0.845 6.068 4.883
Al -3.142 4.014 2.814
Al 4.832 6.833 2.069
Al 3.446 0.000 0.000
Al 2.838 0.430 4.883
Al -1.149 -1.625 6.952
Al -5.136 1.195 7.697
O -4.040 -2.461 9.665
O 7.001 -1.810 4.983
O 6.412 0.784 3.005
O 2.589 3.487 1.878
O 3.933 3.963 7.064
O 3.014 -0.417 8.842
O 2.425 -3.428 7.585
O -5.385 5.521 5.807
O -0.053 -1.502 2.802
O -0.973 2.228 5.706
O -1.562 2.644 8.942
O -1.398 7.907 2.081
O 5.927 3.178 0.100
O 5.007 3.828 4.782
O 4.418 6.422 6.761
O 4.582 -2.151 7.888
O 1.940 9.601 2.702
O 1.020 5.221 0.924
O 0.431 2.210 2.181
O 8.569 -0.117 3.959
O -2.047 4.137 6.964
O -2.967 7.866 4.060
O 8.405 8.283 0.823
O 0.595 2.268 7.685
O 0.343 4.306 9.051
O -0.042 4.578 5.598
O -2.728 5.838 2.677
O 6.414 7.832 2.206
O 8.317 0.047 1.512
O 3.945 8.198 3.002
O 1.259 5.037 3.371
O -1.560 3.633 1.881
O 4.330 -4.353 8.970
O 7.932 4.140 1.165
O 5.246 6.039 3.718
O 2.427 5.450 5.679
O -1.651 9.944 0.715
O 1.952 -1.061 4.168
O -0.735 0.200 7.089
O -3.554 2.193 7.560
O -5.638 5.685 8.254
O 5.939 2.559 6.764
O 3.252 -0.601 6.395
O 0.433 -2.005 7.885
O 2.336 1.286 0.796
O -2.035 -1.499 8.601
O 7.239 0.401 6.048
O 4.420 -0.188 4.087
O 10.526 1.312 0.766
O 1.715 7.542 4.117
O 8.459 2.179 2.954
O 3.221 5.882 1.929
O 2.552 5.646 8.247
O 5.702 5.433 1.176
O 0.485 7.107 6.402
O 7.208 4.368 3.707
O 6.539 9.957 0.753
O -2.272 3.940 4.473
O 4.472 7.629 0.410
O -0.766 6.665 4.130
O 0.559 -4.326 9.000
O 3.709 1.904 5.649
O -1.508 -3.460 6.812
O 5.215 0.244 7.837
O 4.545 0.007 1.519
O -4.265 -0.206 8.590
O 2.479 1.469 3.364
O -2.759 -1.270 6.059
O -3.428 4.319 9.013
O -0.278 -1.698 5.293
O -5.495 1.991 9.356
O 1.228 1.027 5.636
P 7.989 0.787 2.763
P 2.065 4.975 2.120
P -0.778 2.572 1.186
P 2.684 8.582 3.697
P 4.002 -3.639 7.703
P 6.052 4.987 4.397
P 3.209 5.379 6.946
P 6.671 4.549 0.486
P 0.015 2.852 9.066
P -1.921 6.953 3.249
P 7.196 8.964 1.634
P -1.303 3.784 5.583
P -5.965 6.425 7.003
P 4.059 -0.663 7.646
P 1.216 -3.067 8.580
P 4.677 2.943 6.069
P 2.009 2.000 2.063
P 8.046 -0.652 5.368
P 5.203 -0.259 2.820
P -3.296 -1.089 9.280
P -1.978 8.491 0.700
P 0.072 1.315 6.517
P -2.771 3.325 8.132
P 0.691 -1.854 4.183



x | ! AlP3O9, optimized geometry, DFT GGA-PBEsol; values from VASP
! SG: No. 14
! Calculated volume (Å³/cell): 738.6
&SYSTEM
  ibrav = 0, nat = 52, ntyp = 3
/
ATOMIC_SPECIES
Al 26.98 Al.upf
P 30.97 P.upf
O 16.00 O.upf
CELL_PARAMETERS angstrom
6.122 0.000 0.000
-2.148 7.952 0.000
0.000 0.000 15.171
ATOMIC_POSITIONS angstrom
Al 2.957 2.992 5.492
Al 2.091 0.984 13.078
Al 1.017 4.960 9.679
Al 1.883 6.969 2.094
P 3.186 4.108 2.470
P -0.286 7.820 10.056
P 0.788 3.844 12.701
P 4.260 0.132 5.116
P 2.408 5.704 6.916
P 0.492 6.224 14.502
P 1.566 2.248 8.255
P 3.482 1.728 0.670
P -0.104 2.307 5.872
P 5.152 1.669 13.458
P 4.078 5.646 9.299
P -1.178 6.283 1.714
O 1.114 2.823 5.186
O 3.934 1.154 12.771
O 2.860 5.130 9.986
O 0.040 6.799 2.400
O 4.794 3.157 5.837
O 0.254 0.819 13.422
O -0.820 4.795 9.335
O 3.720 7.133 1.749
O 3.252 3.238 3.670
O 1.795 0.738 11.256
O 0.722 4.714 11.501
O 2.179 7.214 3.916
O 2.761 4.852 5.740
O 0.139 7.076 13.326
O 1.213 3.100 9.431
O 3.835 0.876 1.845
O 2.083 5.106 2.338
O 0.817 6.823 9.924
O 1.891 2.846 12.833
O 3.157 1.130 5.248
O 1.302 5.254 7.820
O 1.598 6.674 0.234
O 2.672 2.698 7.352
O 2.376 1.278 14.938
O 3.115 3.196 1.162
O 1.933 0.781 8.747
O 0.859 4.757 14.010
O 2.041 7.172 6.424
O 3.739 5.993 7.767
O -0.839 5.936 0.182
O 0.235 1.960 7.404
O 4.813 2.017 14.990
O 4.614 4.829 2.311
O -1.714 7.100 9.896
O -0.640 3.123 12.861
O 5.688 0.853 5.275



y | ! AlP3O9, optimized geometry, DFT GGA-PBEsol; values from VASP
! SG: No. 9
! Calculated volume (Å³/cell): 904.7
&SYSTEM
  ibrav = 0, nat = 78, ntyp = 3
/
ATOMIC_SPECIES
Al 26.98 Al.upf
P 30.97 P.upf
O 16.00 O.upf
CELL_PARAMETERS angstrom
-0.872 9.239 -0.008
-10.091 -2.519 1.353
6.700 -3.237 8.647
ATOMIC_POSITIONS angstrom
Al -4.897 -1.322 2.330
Al 0.937 0.017 7.687
Al -4.070 -1.218 8.515
Al 0.146 -0.042 1.496
Al 0.286 4.776 4.551
Al -4.737 3.519 5.403
P -6.716 1.143 1.393
P -0.588 2.511 8.995
P -5.746 1.369 7.636
P -1.257 2.573 2.710
P -0.662 -1.983 3.833
P -5.445 -3.216 6.515
P -9.346 4.105 1.763
P -2.363 -3.767 9.245
P 2.590 -2.427 6.580
P -3.880 5.497 3.030
P -3.338 0.927 4.193
P 1.957 2.212 5.427
P -7.467 2.884 3.773
P -1.931 4.193 6.844
P 3.087 5.208 8.719
P -3.102 3.834 0.645
P -1.804 -0.640 6.279
P -7.182 -1.933 4.412
O -0.268 6.476 3.981
O -5.131 5.235 6.052
O -5.601 0.151 1.421
O 0.486 1.515 8.707
O -4.555 0.533 7.990
O -0.193 1.724 2.083
O -2.545 6.349 3.022
O 3.878 -1.580 6.222
O -8.104 0.367 1.492
O -1.952 1.738 9.277
O 3.334 3.004 5.439
O -2.013 1.714 3.807
O -0.545 -0.656 3.149
O -5.161 -1.872 7.111
O -0.020 -1.097 8.932
O -7.011 6.774 1.394
O -5.515 2.653 6.911
O -0.852 3.874 3.317
O -1.547 -0.115 0.658
O 4.600 1.255 8.408
O -0.588 0.169 6.609
O -6.094 -1.136 3.759
O -6.399 3.609 4.518
O -1.093 4.894 5.831
O -4.512 7.675 0.979
O 2.498 -0.194 8.667
O -2.557 -1.282 7.390
O -8.193 -2.601 3.548
O 1.590 4.657 3.194
O -3.127 3.431 6.382
O -3.656 -0.143 3.205
O 1.908 1.169 6.492
O -9.675 2.745 1.233
O -2.540 -5.112 9.877
O 1.557 5.644 5.655
O -3.795 4.354 3.987
O -4.429 1.881 4.554
O 0.807 3.160 5.335
O -0.404 7.413 0.957
O -3.616 -2.988 8.992
O 1.407 -1.526 6.728
O -5.064 6.398 3.168
O -2.423 2.811 1.652
O 3.489 4.157 7.598
O -0.963 3.213 7.625
O -6.728 1.881 2.795
O -6.550 -3.052 5.367
O -1.436 -1.786 5.222
O -3.792 4.942 1.546
O 3.058 -2.943 8.004
O -1.481 -3.931 7.920
O -8.153 3.972 2.821
O 2.076 1.533 4.005
O -2.855 0.285 5.554



Which one is most stable, and which one is least stable? x is the most stable of them, while y is the least stable.



w | ! AlSnP2O, optimized geometry, DFT GGA-PBEsol; values from VASP
! SG: No. 123
! Calculated volume (Å³/cell): 98.6
&SYSTEM
  ibrav = 0, nat = 5, ntyp = 4
/
ATOMIC_SPECIES
P 30.97 P.upf
Sn 118.71 Sn.upf
O 16.00 O.upf
Al 26.98 Al.upf
CELL_PARAMETERS angstrom
3.857 0.000 0.000
0.000 5.057 0.000
0.000 0.000 5.057
ATOMIC_POSITIONS angstrom
P 0.000 0.000 2.528
P 0.000 2.528 0.000
Sn 0.000 0.000 0.000
O 1.928 0.000 0.000
Al 1.928 2.528 2.528



x | ! AlSnP2O, optimized geometry, DFT GGA-PBEsol; values from VASP
! SG: No. 123
! Calculated volume (Å³/cell): 84.4
&SYSTEM
  ibrav = 0, nat = 5, ntyp = 4
/
ATOMIC_SPECIES
P 30.97 P.upf
Sn 118.71 Sn.upf
O 16.00 O.upf
Al 26.98 Al.upf
CELL_PARAMETERS angstrom
3.400 0.000 0.000
0.000 4.982 0.000
0.000 0.000 4.982
ATOMIC_POSITIONS angstrom
P 0.000 0.000 2.491
P 0.000 2.491 0.000
Sn 1.700 2.491 2.491
O 1.700 0.000 0.000
Al 0.000 0.000 0.000



Which one is most stable, and which one is least stable? x is the most stable of them, while w is the least stable.